(1)
# Zr2PPt | Alexandria | PBE | optimized geometry
# Energy of formation from the pure elements (eV/atom): -1.038
# Calculated density (g cm⁻³): 8.6
# Density of states at the Fermi level (states/eV/f.u.): 1.57
# Volume (Å³/cell): 236.9
data_Zr2PPt
_chemical_formula_sum 'Zr6 P3 Pt3'
_cell_length_a 3.6834
_cell_length_b 3.6834
_cell_length_c 20.1647
_cell_angle_alpha 90.00
_cell_angle_beta 90.00
_cell_angle_gamma 120.00
_space_group_name_H-M_alt 'R -3 m'
_space_group_IT_number 166
_space_group_name_Hall '-R 3 2"'
loop_
_atom_site_label
_atom_site_type_symbol
_atom_site_fract_x
_atom_site_fract_y
_atom_site_fract_z
_atom_site_occupancy
Zr1 Zr 0.0000 0.0000 0.2445 1
P1 P 0.0000 0.0000 0.5000 1
Pt1 Pt 0.0000 0.0000 0.0000 1

***

(2)
# ZrPPt2 | Alexandria | PBE | optimized geometry
# Energy of formation from the pure elements (eV/atom): -0.682
# Calculated density (g cm⁻³): 11.8
# Density of states at the Fermi level (states/eV/f.u.): 2.02
# Volume (Å³/cell): 216.2
data_ZrPPt2
_chemical_formula_sum 'Zr3 P3 Pt6'
_cell_length_a 3.8737
_cell_length_b 3.8737
_cell_length_c 16.6342
_cell_angle_alpha 90.00
_cell_angle_beta 90.00
_cell_angle_gamma 120.00
_space_group_name_H-M_alt 'R 3 m'
_space_group_IT_number 160
_space_group_name_Hall 'R 3 -2"'
loop_
_atom_site_label
_atom_site_type_symbol
_atom_site_fract_x
_atom_site_fract_y
_atom_site_fract_z
_atom_site_occupancy
Zr1 Zr 0.0000 0.0000 0.0000 1
P1 P 0.0000 0.0000 0.2373 1
Pt1 Pt 0.0000 0.0000 0.5304 1
Pt2 Pt 0.0000 0.0000 0.7608 1

***

(3)
# ZrP2Pt | Alexandria | PBE | optimized geometry
# Excess energy over the best structure of this formula in the dataset (eV per atom): 0.2773
# Energy of formation from the pure elements (eV/atom): -0.608
# Calculated density (g cm⁻³): 8.8
# Density of states at the Fermi level (states/eV/f.u.): 1.51
# Volume (Å³/cell): 65.9
data_ZrP2Pt
_chemical_formula_sum 'Zr1 P2 Pt1'
_cell_length_a 2.867
_cell_length_b 4.603
_cell_length_c 5.035
_cell_angle_alpha 90.00
_cell_angle_beta 97.53
_cell_angle_gamma 90.00
_space_group_name_H-M_alt 'P 1 m 1'
_space_group_IT_number 6
loop_
_space_group_symop_operation_xyz
'x,y,z'
'x,-y,z'
loop_
_atom_site_label
_atom_site_type_symbol
_atom_site_fract_x
_atom_site_fract_y
_atom_site_fract_z
_atom_site_occupancy
Zr1 Zr 0.000 0.000 0.000 1
P1 P 0.356 0.000 0.530 1
P2 P 0.533 0.500 0.167 1
Pt1 Pt 0.423 0.500 0.673 1

***

(4)
# Zr2PPt | Alexandria | PBE | optimized geometry
# Energy of formation from the pure elements (eV/atom): -0.939
# Calculated density (g cm⁻³): 9.3
# Density of states at the Fermi level (states/eV/f.u.): 3.21
# Volume (Å³/cell): 73.0
data_Zr2PPt
_chemical_formula_sum 'Zr2 P1 Pt1'
_cell_length_a 3.034
_cell_length_b 3.467
_cell_length_c 7.023
_cell_angle_alpha 90.00
_cell_angle_beta 98.65
_cell_angle_gamma 90.00
_space_group_name_H-M_alt 'P 1 2/m 1'
_space_group_IT_number 10
loop_
_space_group_symop_operation_xyz
'x,y,z'
'-x,-y,-z'
'-x,y,-z'
'x,-y,z'
loop_
_atom_site_label
_atom_site_type_symbol
_atom_site_fract_x
_atom_site_fract_y
_atom_site_fract_z
_atom_site_occupancy
Zr1 Zr 0.090 0.000 0.264 1
P1 P 0.500 0.500 0.500 1
Pt1 Pt 0.500 0.500 0.000 1

***

(5)
# ZrPPt2 | Alexandria | PBE | optimized geometry
# Energy of formation from the pure elements (eV/atom): -0.273
# Calculated density (g cm⁻³): 12.8
# Density of states at the Fermi level (states/eV/f.u.): 4.21
# Volume (Å³/cell): 200.1
data_ZrPPt2
_chemical_formula_sum 'Zr3 P3 Pt6'
_cell_length_a 2.9984
_cell_length_b 2.9984
_cell_length_c 25.7043
_cell_angle_alpha 90.00
_cell_angle_beta 90.00
_cell_angle_gamma 120.00
_space_group_name_H-M_alt 'R -3 m'
_space_group_IT_number 166
_space_group_name_Hall '-R 3 2"'
loop_
_atom_site_label
_atom_site_type_symbol
_atom_site_fract_x
_atom_site_fract_y
_atom_site_fract_z
_atom_site_occupancy
Zr1 Zr 0.0000 0.0000 0.0000 1
P1 P 0.0000 0.0000 0.5000 1
Pt1 Pt 0.0000 0.0000 0.2388 1

***

(6)
# ZrP2Pt | Alexandria | PBE | optimized geometry
# Excess energy over the best structure of this formula in the dataset (eV per atom): 0.3307
# Energy of formation from the pure elements (eV/atom): -0.555
# Calculated density (g cm⁻³): 8.4
# Density of states at the Fermi level (states/eV/f.u.): 2.97
# Volume (Å³/cell): 205.7
data_ZrP2Pt
_chemical_formula_sum 'Zr3 P6 Pt3'
_cell_length_a 3.8674
_cell_length_b 3.8674
_cell_length_c 15.8781
_cell_angle_alpha 90.00
_cell_angle_beta 90.00
_cell_angle_gamma 120.00
_space_group_name_H-M_alt 'R -3 m'
_space_group_IT_number 166
_space_group_name_Hall '-R 3 2"'
loop_
_atom_site_label
_atom_site_type_symbol
_atom_site_fract_x
_atom_site_fract_y
_atom_site_fract_z
_atom_site_occupancy
Zr1 Zr 0.0000 0.0000 0.0000 1
P1 P 0.0000 0.0000 0.2422 1
Pt1 Pt 0.0000 0.0000 0.5000 1

***

Q: The lowest density of states at the Fermi level belongs to which entry?
A: number 3